Entry from the Alexandria database: a relaxed ErRh4 crystal (PBE-GGA).

Output
ρ (g/cm³): 8.823
Excess energy over the best structure of this formula in the dataset (meV per atom): 1655
Final energy (eV per atom): -5.3657
DFT formation energy (meV/atom): 1428
Fermi-level density of states (states/eV/f.u.): 9.517

Unit cell a=4.7761 b=4.7761 c=4.7761 alpha=90.00 beta=90.00 gamma=90.00
Fractional coordinates of all 5 atoms:
Er  0.0000  0.0000  0.0000
Rh  0.0000  0.0000  0.5000
Rh  0.0000  0.5000  0.0000
Rh  0.5000  0.0000  0.0000
Rh  0.5000  0.5000  0.5000



Entry from the Alexandria database: a relaxed KSb2S2 crystal (PBE-GGA).

Output
Uncorrected formation energy (eV per formula unit): -1.07
ρ (g/cm³): 3.995
Excess energy over the best structure of this formula in the dataset (meV per atom): 0
Final energy (eV per atom): -3.7324
Fermi-level density of states (states/eV/f.u.): 2.760

Unit cell a=6.1812 b=6.1812 c=6.1812 alpha=127.51 beta=127.51 gamma=77.42
Fractional coordinates of all 5 atoms:
K  0.0000  0.0000  0.0000
Sb  0.3419  0.3419  0.0000
Sb  0.6581  0.6581  0.0000
S  0.2500  0.7500  0.5000
S  0.7500  0.2500  0.5000



Entry from the Alexandria database: a relaxed TaBe2Se crystal (PBE-GGA).

Output
Uncorrected formation energy (eV per formula unit): 0.56
ρ (g/cm³): 8.441
Final energy (eV per atom): -5.5577
Fermi-level density of states (states/eV/f.u.): 1.598

Unit cell a=4.7769 b=4.7769 c=3.8101 alpha=106.63 beta=106.63 gamma=41.34
Fractional coordinates of all 4 atoms:
Ta  0.0000  0.0000  0.0000
Be  0.5148  0.5148  0.5051
Be  0.7680  0.7680  0.3539
Se  0.2715  0.2715  0.9000



Entry from the Alexandria database: a relaxed Cs3ZrBr7 crystal (PBE-GGA).

Output
Uncorrected formation energy (eV per formula unit): -17.29
ρ (g/cm³): 3.615
Final energy (eV per atom): -3.6464
Fermi-level density of states (states/eV/f.u.): 0.000

Unit cell a=8.2047 b=8.2047 c=8.9560 alpha=115.80 beta=115.80 gamma=86.78
Fractional coordinates of all 11 atoms:
Cs  0.0000  0.0000  0.0000
Cs  0.2746  0.7425  0.5749
Cs  0.7425  0.2746  0.5749
Zr  0.5499  0.5499  0.1289
Br  0.2167  0.5133  0.8306
Br  0.3803  0.3803  0.2314
Br  0.3859  0.8508  0.2649
Br  0.5133  0.2167  0.8306
Br  0.7073  0.7073  0.0112
Br  0.8102  0.8102  0.5056
Br  0.8508  0.3859  0.2649



Entry from the Alexandria database: a relaxed LaZrTc2 crystal (PBE-GGA).

Output
ρ (g/cm³): 8.767
Excess energy over the best structure of this formula in the dataset (meV per atom): 90
Final energy (eV per atom): -8.3982
DFT formation energy (meV/atom): 154
Fermi-level density of states (states/eV/f.u.): 4.551

Unit cell a=5.8669 b=5.8669 c=5.8669 alpha=147.19 beta=131.93 gamma=59.42
Fractional coordinates of all 4 atoms:
La  0.0000  0.0000  0.0000
Zr  0.7320  0.2320  0.5000
Tc  0.2543  0.7543  0.5000
Tc  0.4583  0.4583  0.0000



Entry from the Alexandria database: a relaxed SrSiF3 crystal (PBE-GGA).

Output
Uncorrected formation energy (eV per formula unit): -10.10
ρ (g/cm³): 2.748
Excess energy over the best structure of this formula in the dataset (meV per atom): 0
Final energy (eV per atom): -4.5632
Fermi-level density of states (states/eV/f.u.): 2.394

Unit cell a=4.7083 b=4.7083 c=4.7083 alpha=90.00 beta=90.00 gamma=90.00
Fractional coordinates of all 5 atoms:
Sr  0.0000  0.0000  0.0000
Si  0.5000  0.5000  0.5000
F  0.0000  0.0000  0.5000
F  0.0000  0.5000  0.0000
F  0.5000  0.0000  0.0000



Entry from the Alexandria database: a relaxed Nd8DyEr5 crystal (PBE-GGA).

Output
ρ (g/cm³): 7.408
Final energy (eV per atom): -4.4310
DFT formation energy (meV/atom): 252
Fermi-level density of states (states/eV/f.u.): 20.835

Unit cell a=8.5653 b=8.5653 c=8.5653 alpha=111.16 beta=111.16 gamma=106.14
Fractional coordinates of all 14 atoms:
Nd  0.1749  0.4072  0.5879
Nd  0.3275  0.2234  0.2410
Nd  0.4130  0.8251  0.2322
Nd  0.5928  0.1808  0.7678
Nd  0.7766  0.0176  0.1041
Nd  0.8192  0.5870  0.4121
Nd  0.9135  0.6725  0.8959
Nd  0.9824  0.0865  0.7590
Dy  0.5000  0.5000  0.0000
Er  0.0679  0.4731  0.1878
Er  0.1199  0.9321  0.4052
Er  0.2853  0.8801  0.8122
Er  0.5269  0.7147  0.5948
Er  0.7500  0.2500  0.5000



Entry from the Alexandria database: a relaxed Ca3LaCe2P6 crystal (PBE-GGA).

Output
ρ (g/cm³): 3.966
Final energy (eV per atom): -5.8620
DFT formation energy (meV/atom): -1257
Fermi-level density of states (states/eV/f.u.): 14.172

Unit cell a=7.2639 b=7.2639 c=7.0762 alpha=99.87 beta=99.87 gamma=120.03
Fractional coordinates of all 12 atoms:
Ca  0.0000  0.0000  0.0000
Ca  0.3355  0.6645  0.0000
Ca  0.6645  0.3355  0.0000
La  0.5000  0.5000  0.5000
Ce  0.1667  0.8333  0.5000
Ce  0.8333  0.1667  0.5000
P  0.0763  0.4211  0.2637
P  0.2346  0.2346  0.7373
P  0.4211  0.0763  0.2637
P  0.5789  0.9237  0.7363
P  0.7654  0.7654  0.2626
P  0.9237  0.5789  0.7363



- The lowest Fermi-level density of states belongs to which entry?
  Cs3ZrBr7



- What is the formula in the fourth record?
  Cs3ZrBr7



- Among the records above, which one has the lowest final energy?
  LaZrTc2